Below is PaCoCu2O6 after structural relaxation, with properties calculated at the PBE with a Hubbard U level.

Computed properties:
The final energy is -6.852 eV/atom. The calculation puts the theoretical density at 7.689 g/cm³. Its space group is No. 15.

abc: 5.1126 6.6462 6.6462
angles: 79.13 91.69 91.69
Closest atoms and distances in Å follow each position.
Element x y z (fractional)
O1 0.5770 0.8159 0.9956  2 Co 1.92-1.96, 1 Cu 1.96
O2 0.0569 0.6510 0.0941  2 Cu 1.97-2.01, 1 Co 2.01
O3 0.0480 0.6706 0.5671  1 Cu 1.89
O4 0.9431 0.3490 0.9059  2 Cu 1.97-2.01, 1 Co 2.01
O5 0.4230 0.1841 0.0044  2 Co 1.92-1.96, 1 Cu 1.96
O6 0.0770 0.9956 0.8159  2 Co 1.92-1.96, 1 Cu 1.96
O7 0.4520 0.4329 0.3294  1 Cu 1.89
O8 0.9520 0.3294 0.4329  1 Cu 1.89
O9 0.5480 0.5671 0.6706  1 Cu 1.89
O10 0.5569 0.0941 0.6510  2 Cu 1.97-2.01, 1 Co 2.01
O11 0.9230 0.0044 0.1841  2 Co 1.92-1.96, 1 Cu 1.96
O12 0.4431 0.9059 0.3490  2 Cu 1.97-2.01, 1 Co 2.01
Cu1 0.2237 0.3840 0.1148  4 O 1.89-2.01
Cu2 0.7763 0.6160 0.8852  4 O 1.89-2.01
Cu3 0.2763 0.8852 0.6160  4 O 1.89-2.01
Cu4 0.7237 0.1148 0.3840  4 O 1.89-2.01
Pa1 0.7500 0.6620 0.3380  4 O 2.13-2.30
Pa2 0.2500 0.3380 0.6620  4 O 2.13-2.30
Co1 0.7500 0.0786 0.9214  6 O 1.92-2.01
Co2 0.2500 0.9214 0.0786  6 O 1.92-2.01